Below is a relaxed CuBi2Pt crystal, with properties calculated at the GGA-PBE level.

The structure in POSCAR format:
```
CuBi2Pt
1.0
7.0993 0.0000 0.0000
0.0000 7.0993 0.0000
0.0000 0.0000 7.0993
Cu Bi Pt
4 8 4
Direct
0.0000 0.0000 0.0000
0.0000 0.5000 0.5000
0.5000 0.0000 0.5000
0.5000 0.5000 0.0000
0.0000 0.0000 0.5000
0.0000 0.5000 0.0000
0.2500 0.2500 0.2500
0.2500 0.7500 0.7500
0.5000 0.0000 0.0000
0.5000 0.5000 0.5000
0.7500 0.2500 0.7500
0.7500 0.7500 0.2500
0.2500 0.2500 0.7500
0.2500 0.7500 0.2500
0.7500 0.2500 0.2500
0.7500 0.7500 0.7500
```

- size of the total moment (Bohr magnetons per cell) = 0.009
- symmetry = F-43m (216)
- total DFT energy (no corrections) (Ha/atom) = -0.15148

---

Below is a relaxed TbErFe2B2N2 crystal, with properties calculated at the GGA-PBE level.

The structure in POSCAR format:
```
TbErFe2B2N2
1.0
3.4397 0.0000 0.0000
0.0000 3.4397 0.0000
0.0000 0.0000 7.6998
Tb Er Fe B N
1 1 2 2 2
Direct
0.0000 0.0000 0.0000
0.5000 0.5000 0.6699
0.0000 0.5000 0.3349
0.5000 0.0000 0.3349
0.0000 0.0000 0.4994
0.5000 0.5000 0.1686
0.0000 0.0000 0.6927
0.5000 0.5000 0.9746
```

- size of the total moment (Bohr magnetons per cell) = 2.372
- symmetry = P4mm (99)
- total DFT energy (no corrections) (Ha/atom) = -0.29444

---

What is the total DFT energy (no corrections) in the first record?
-0.15148 Ha/atom

---

What is the total DFT energy (no corrections) in the first record?
-0.15148 Ha/atom

---

What is the total DFT energy (no corrections) in the second record?
-0.29444 Ha/atom